Compound: LaAsPb
Source: Alexandria via LeMat-Bulk
Functional: PBE
Structure: relaxed

## Properties
excess energy over the best structure of this formula in the dataset: 517 meV/atom

abc: 5.189 5.189 5.189
angles: 60.00 60.00 60.00
Fractional coordinates of all 3 atoms:
As (0.500, 0.500, 0.500)
Pb (0.000, 0.000, 0.000)
La (0.750, 0.750, 0.750)